1.
# Li2CaPrAu4 GGA-PBE relaxed
# * DFT formation energy: -673.0 meV/atom
# * calculated total energy: -29.1 eV/f.u.
data_Li2CaPrAu4
_cell_length_a 4.6029
_cell_length_b 4.6029
_cell_length_c 28.5961
_cell_angle_alpha 90.00
_cell_angle_beta 90.00
_cell_angle_gamma 120.00
_space_group_name_H-M_alt 'R -3 m'
_space_group_IT_number 166
_space_group_name_Hall '-R 3 2"'
loop_
_atom_site_label
_atom_site_type_symbol
_atom_site_fract_x
_atom_site_fract_y
_atom_site_fract_z
Li1 Li 0.0000 0.0000 0.2468
Ca1 Ca 0.0000 0.0000 0.5000
Pr1 Pr 0.0000 0.0000 0.0000
Au1 Au 0.0000 0.0000 0.1090
Au2 Au 0.0000 0.0000 0.3924

=====

2.
# Y3In2Ga3O12 GGA-PBE relaxed
# * formation energy (no corrections): -49.14 eV per formula unit
# * calculated total energy: -142.6 eV/f.u.
data_Y3In2Ga3O12
_cell_length_a 12.729
_cell_length_b 12.729
_cell_length_c 12.729
_cell_angle_alpha 90.00
_cell_angle_beta 90.00
_cell_angle_gamma 90.00
_space_group_name_H-M_alt 'I a -3 d'
_space_group_IT_number 230
_space_group_name_Hall '-I 4bd 2c 3'
loop_
_atom_site_label
_atom_site_type_symbol
_atom_site_fract_x
_atom_site_fract_y
_atom_site_fract_z
Y1 Y 0.000 0.250 0.125
In1 In 0.000 0.000 0.000
Ga1 Ga 0.000 0.250 0.375
O1 O 0.028 0.061 0.658

=====

3.
# TaRe2Pt GGA-PBE relaxed
# * distance to the lowest polymorph of the same formula: 0.285 eV per atom
# * DFT formation energy: 6.7 meV/atom
# * calculated total energy: -42.8 eV/f.u.
data_TaRe2Pt
_cell_length_a 3.377
_cell_length_b 4.280
_cell_length_c 8.777
_cell_angle_alpha 90.00
_cell_angle_beta 90.00
_cell_angle_gamma 90.00
_space_group_name_H-M_alt 'C m m m'
_space_group_IT_number 65
_space_group_name_Hall '-C 2 2'
loop_
_atom_site_label
_atom_site_type_symbol
_atom_site_fract_x
_atom_site_fract_y
_atom_site_fract_z
Ta1 Ta 0.000 0.000 0.000
Re1 Re 0.000 0.500 0.254
Pt1 Pt 0.000 0.000 0.500

=====

4.
# Y12TlRu6 GGA-PBE relaxed
# * DFT formation energy: -274.9 meV/atom
# * calculated total energy: -140.8 eV/f.u.
data_Y12TlRu6
_cell_length_a 9.881
_cell_length_b 9.881
_cell_length_c 9.881
_cell_angle_alpha 90.00
_cell_angle_beta 90.00
_cell_angle_gamma 90.00
_space_group_name_H-M_alt 'I m -3'
_space_group_IT_number 204
_space_group_name_Hall '-I 2 2 3'
loop_
_atom_site_label
_atom_site_type_symbol
_atom_site_fract_x
_atom_site_fract_y
_atom_site_fract_z
Y1 Y 0.000 0.194 0.296
Tl1 Tl 0.000 0.000 0.000
Ru1 Ru 0.000 0.377 0.500

=====

5.
# LiGe3Rh2 GGA-PBE relaxed
# * DFT formation energy: -273.9 meV/atom
# * calculated total energy: -32.1 eV/f.u.
data_LiGe3Rh2
_cell_length_a 5.9550
_cell_length_b 5.9550
_cell_length_c 6.0645
_cell_angle_alpha 90.00
_cell_angle_beta 90.00
_cell_angle_gamma 120.00
_space_group_name_H-M_alt 'P -3 m 1'
_space_group_IT_number 164
_space_group_name_Hall '-P 3 2"'
loop_
_atom_site_label
_atom_site_type_symbol
_atom_site_fract_x
_atom_site_fract_y
_atom_site_fract_z
Li1 Li 0.3333 0.6667 0.1765
Ge1 Ge 0.1709 0.3417 0.8095
Rh1 Rh 0.0000 0.0000 0.5000
Rh2 Rh 0.0000 0.5000 0.5000

=====

6.
# YSbTe2H GGA-PBE relaxed
# * distance to the lowest polymorph of the same formula: 0.000 eV per atom
# * calculated total energy: -21.4 eV/f.u.
data_YSbTe2H
_cell_length_a 5.474
_cell_length_b 5.474
_cell_length_c 3.912
_cell_angle_alpha 90.00
_cell_angle_beta 90.00
_cell_angle_gamma 90.00
_space_group_name_H-M_alt 'P 4/m m m'
_space_group_IT_number 123
_space_group_name_Hall '-P 4 2'
loop_
_atom_site_label
_atom_site_type_symbol
_atom_site_fract_x
_atom_site_fract_y
_atom_site_fract_z
Y1 Y 0.000 0.000 0.000
Sb1 Sb 0.500 0.500 0.000
Te1 Te 0.000 0.500 0.500
H1 H 0.500 0.500 0.500

=====

| no. | N(E_F) (states/eV/cell) |
| --- | --- |
| 1 | 13.69 |
| 2 | 0.00 |
| 3 | 5.47 |
| 4 | 42.82 |
| 5 | 8.01 |
| 6 | 1.00 |